Computed, not measured: LiMnCd3 after structural relaxation at the GGA-PBE level of DFT.

## Properties
Its symmetry is Pm-3m, No. 221. Its total moment is 0.669 μB per atom. Its formation energy from the elements is 0.42 eV per atom. The calculation puts the excess energy over the best structure of this formula in the dataset at 0 meV per atom. As for the theoretical density: 4.77 g/cm³.

Cell and atoms, written as extended XYZ:
```
5
Lattice="5.1803 0.0000 0.0000 0.0000 5.1803 0.0000 0.0000 0.0000 5.1803" Properties=species:S:1:pos:R:3 pbc="T T T"
Cd 2.5902 0.0000 0.0000
Cd 0.0000 0.0000 2.5902
Cd 0.0000 2.5902 0.0000
Mn 0.0000 0.0000 0.0000
Li 2.5902 2.5902 2.5902
```